Density functional theory data (PBE) for crystalline Fe3C at its relaxed geometry.

The structure belongs to space group R-3m (No. 166, hexagonal axes); the cell edges are 2.7728, 2.7728 and 18.7219 Å and the angles 90.00°, 90.00° and 120.00°. Symmetry generates all atoms from Fe at (0.0000, 0.0000, 0.0000), Fe at (0.0000, 0.0000, 0.2241) and C at (0.0000, 0.0000, 0.5000).

Its formation energy is 0.17 eV per atom. The crystal system is trigonal.